# K3BeH5

A relaxed K3BeH5 crystal (PBE-GGA, the Alexandria database).

Calculated values
SG: I4/mcm (140)
E_tot, eV for the cell shown: -52.7
DOS(E_F), states/eV per atom: 0.000

Unit cell a=7.4485 b=7.4485 c=7.4485 alpha=120.94 beta=120.94 gamma=88.38
Sites, in units of the cell vectors:
K 0.1778 0.6778 0.8556
K 0.2500 0.2500 0.0000
K 0.3222 0.1778 0.5000
K 0.6778 0.8222 0.5000
K 0.7500 0.7500 0.0000
K 0.8222 0.3222 0.1444
Be 0.2500 0.7500 0.5000
Be 0.7500 0.2500 0.5000
H 0.0000 0.0000 0.0000
H 0.0553 0.7842 0.5000
H 0.2158 0.7158 0.2712
H 0.2842 0.5553 0.5000
H 0.4447 0.9447 0.7288
H 0.5000 0.5000 0.0000
H 0.5553 0.0553 0.2712
H 0.7158 0.4447 0.5000
H 0.7842 0.2842 0.7288
H 0.9447 0.2158 0.5000